## KRb2Hf3S8 (PBE)

Data for an optimized crystal structure of KRb2Hf3S8.

## Properties
* N(E_F): 26.00 states/eV per cell
* formation energy (no corrections): -1362 meV/atom

Cell lengths 7.5916, 7.5916, 24.0794 Å; angles 90.00, 90.00, 120.00 degrees
Space group R3m (No. 160, hexagonal axes)
Unique sites:
1 K 0.0000 0.0000 0.0000 [3 per cell]
2 Rb 0.0000 0.0000 0.3617 [3 per cell]
3 Rb 0.0000 0.0000 0.7188 [3 per cell]
4 Hf 0.0002 0.5001 0.8613 [9 per cell]
5 S 0.0000 0.0000 0.1339 [3 per cell]
6 S 0.0000 0.0000 0.5871 [3 per cell]
7 S 0.0241 0.5120 0.1374 [9 per cell]
8 S 0.1785 0.3569 0.9194 [9 per cell]